No. 1
Material: MgAgSO
Method: DFT, PBE-GGA
State: optimized geometry

abc: 3.171 3.171 11.711
angles: 90.00 90.00 90.00
Fractional positions:
Mg (0.250, 0.250, 0.089)
Mg (0.750, 0.750, 0.911)
Ag (0.250, 0.250, 0.712)
Ag (0.750, 0.750, 0.288)
S (0.250, 0.750, 0.500)
S (0.750, 0.250, 0.500)
O (0.250, 0.250, 0.915)
O (0.750, 0.750, 0.085)

Summary:
* final energy: -4.147 eV/atom

No. 2
Material: MgAgSO
Method: DFT, PBE-GGA
State: optimized geometry

abc: 3.724 3.724 11.220
angles: 90.00 90.00 120.00
Fractional positions:
Mg (0.000, 0.000, 0.000)
Mg (0.000, 0.000, 0.500)
Ag (0.333, 0.667, 0.258)
Ag (0.667, 0.333, 0.758)
S (0.333, 0.667, 0.604)
S (0.667, 0.333, 0.104)
O (0.000, 0.000, 0.330)
O (0.000, 0.000, 0.830)

Summary:
* final energy: -4.035 eV/atom